Record 1
# GGA-PBE Cs3TbNd3Te8, relaxed
# D(E_F)	28.78	states/eV/cell
# ΔE_f (raw)	-1.335	eV/atom
# final energy	-199.965	eV for the cell shown
data_Cs3TbNd3Te8
_cell_length_a 9.1010
_cell_length_b 9.1010
_cell_length_c 27.6806
_cell_angle_alpha 90.00
_cell_angle_beta 90.00
_cell_angle_gamma 120.00
_symmetry_space_group_name_H-M 'R -3 m'
_symmetry_Int_Tables_number 166
_symmetry_space_group_name_Hall '-R 3 2"'
loop_
_atom_site_label
_atom_site_type_symbol
_atom_site_fract_x
_atom_site_fract_y
_atom_site_fract_z
Cs1 Cs 0.0000 0.5000 0.0000
Tb1 Tb 0.0000 0.0000 0.5000
Nd1 Nd 0.0000 0.5000 0.5000
Te1 Te 0.0000 0.0000 0.2321
Te2 Te 0.0055 0.5027 0.2307



Record 2
# GGA-PBE Cs3Tb2NdTe6, relaxed
# ΔE_f (raw)	-1.399	eV/atom
# final energy	-104.465	eV for the cell shown
data_Cs3Tb2NdTe6
_cell_length_a 7.979
_cell_length_b 13.820
_cell_length_c 9.321
_cell_angle_alpha 90.00
_cell_angle_beta 106.59
_cell_angle_gamma 90.00
_symmetry_space_group_name_H-M 'C 1 2/m 1'
_symmetry_Int_Tables_number 12
loop_
_symmetry_equiv_pos_as_xyz
'x,y,z'
'-x,-y,-z'
'-x,y,-z'
'x,-y,z'
'x+1/2,y+1/2,z'
'-x+1/2,-y+1/2,-z'
'-x+1/2,y+1/2,-z'
'x+1/2,-y+1/2,z'
loop_
_atom_site_label
_atom_site_type_symbol
_atom_site_fract_x
_atom_site_fract_y
_atom_site_fract_z
Cs1 Cs 0.000 0.000 0.000
Cs2 Cs 0.000 0.335 0.000
Tb1 Tb 0.000 0.167 0.500
Nd1 Nd 0.000 0.500 0.500
Te1 Te 0.224 0.000 0.691
Te2 Te 0.234 0.330 0.692